A geometry-optimized Sr2V3O9 structure, computed with PBE with a Hubbard U.

Results
E: -7.388 eV per atom
energy above the lowest structure with this stoichiometry: 0 meV/atom
space-group type: No. 14
M_tot: 4.0 μB/cell

POSCAR file:
```
Sr2V3O9
1.0
7.082 0.005 0.000
-3.250 6.627 0.000
0.000 0.000 16.497
Sr V O
8 12 36
Cartesian
-1.472 6.609 15.678
-1.484 6.628 6.184
0.152 3.295 9.068
0.141 3.314 2.065
5.316 0.004 10.314
5.305 0.023 0.819
3.680 3.337 7.430
3.692 3.317 14.432
1.041 1.475 12.447
1.779 0.007 2.634
-1.486 6.618 9.546
-0.583 4.788 12.299
0.139 3.304 15.200
0.154 3.320 5.615
4.416 1.844 4.198
5.318 0.014 6.952
2.053 6.625 13.863
2.791 5.157 4.051
3.678 3.311 10.883
3.693 3.328 1.297
-0.705 2.218 16.198
-0.709 2.211 4.562
0.635 0.777 1.598
0.619 0.930 10.553
-2.330 5.532 8.548
-2.334 5.525 3.687
1.312 2.371 14.223
1.314 2.554 6.634
-1.519 6.617 12.966
-0.989 4.091 6.651
-1.006 4.243 14.193
2.613 1.105 3.725
2.583 1.085 8.540
2.874 2.233 0.292
2.844 2.213 11.973
-0.313 5.685 10.524
-0.310 5.867 1.615
0.106 3.304 11.780
4.143 0.764 14.883
4.145 0.947 5.974
0.988 4.419 4.524
0.958 4.399 16.206
1.249 5.546 7.957
1.219 5.527 12.773
4.838 2.389 2.304
4.822 2.541 9.846
5.351 0.015 3.531
2.518 4.078 9.863
2.521 4.261 2.275
6.166 1.107 12.811
6.162 1.100 7.949
3.213 5.702 5.944
3.197 5.854 14.900
3.726 3.328 4.717
4.541 4.421 11.936
4.538 4.414 0.299
```